No. 1
Below is crystalline Ca2HF at its relaxed geometry, with properties calculated at the PBE level.

Lattice parameters (Å, degrees): 5.5275 5.5275 10.9340 90.00 90.00 90.00
Space group I-42d (No. 122)
Symmetry-distinct sites (fractional):
Ca 0.2497 0.2500 0.1250 x8
H 0.0000 0.0000 0.0000 x4
F 0.0000 0.0000 0.5000 x4

Properties
**Distance to the lowest polymorph of the same formula**: 0.00 eV per formula unit
**Crystal system**: tetragonal

=====

No. 2
Below is crystalline MgCu2 at its relaxed geometry, with properties calculated at the PBE level.

Lattice parameters (Å, degrees): 7.0443 7.0443 7.0443 90.00 90.00 90.00
Space group Fd-3m (No. 227, origin choice 2)
Symmetry-distinct sites (fractional):
Mg 0.1250 0.1250 0.1250 x8
Cu 0.0000 0.0000 0.5000 x16

Properties
**E_form**: -0.137 eV per atom
**Crystal system**: cubic

=====

No. 3
Below is crystalline CeMg4Au5 at its relaxed geometry, with properties calculated at the PBE level.

Lattice parameters (Å, degrees): 3.3684 3.3684 17.0348 90.00 90.00 90.00
Space group P4/mmm (No. 123)
Symmetry-distinct sites (fractional):
Ce 0.0000 0.0000 0.0000 x1
Mg 0.0000 0.0000 0.2167 x2
Mg 0.0000 0.0000 0.4058 x2
Au 0.5000 0.5000 0.1231 x2
Au 0.5000 0.5000 0.3113 x2
Au 0.5000 0.5000 0.5000 x1

Properties
**E_form**: -0.609 eV per atom
**Crystal system**: tetragonal

=====

No. 4
Below is crystalline Ce6PdRh3 at its relaxed geometry, with properties calculated at the PBE level.

Lattice parameters (Å, degrees): 6.8735 7.4650 12.1203 90.00 123.01 90.00
Space group P2_1/c (No. 14)
Symmetry-distinct sites (fractional):
Ce 0.0617 0.0771 0.2475 x4
Ce 0.2369 0.6730 0.0832 x4
Ce 0.4035 0.1680 0.0750 x4
Pd 0.5000 0.0000 0.5000 x2
Rh 0.0000 0.0000 0.0000 x2
Rh 0.3060 0.1163 0.7709 x4

Properties
**E_form**: -0.471 eV per atom
**Crystal system**: monoclinic

=====

No. 5
Below is crystalline Ac5LaN6 at its relaxed geometry, with properties calculated at the PBE level.

Lattice parameters (Å, degrees): 6.7366 11.6712 6.7326 90.00 109.45 90.00
Space group C2/m (No. 12)
Symmetry-distinct sites (fractional):
Ac 0.0000 0.0000 0.0000 x2
Ac 0.0000 0.1672 0.5000 x4
Ac 0.0000 0.3355 0.0000 x4
La 0.0000 0.5000 0.5000 x2
N 0.2430 0.5000 0.2506 x4
N 0.2440 0.3375 0.7455 x8

Properties
**Crystal system**: monoclinic
**Formation energy without anion corrections**: -1098 meV/atom

=====

No. 6
Below is crystalline CuI at its relaxed geometry, with properties calculated at the PBE level.

Lattice parameters (Å, degrees): 4.1679 4.1679 15.2949 90.00 90.00 120.00
Space group P6_3mc (No. 186)
Symmetry-distinct sites (fractional):
Cu 0.0000 0.0000 0.0000 x2
Cu 0.3333 0.6667 0.4081 x2
I 0.0000 0.0000 0.3294 x2
I 0.3333 0.6667 0.5789 x2

Properties
**Crystal system**: hexagonal
**Formation energy without anion corrections**: -143 meV/atom

=====

No. 7
Below is crystalline YHf3Cr at its relaxed geometry, with properties calculated at the PBE level.

Lattice parameters (Å, degrees): 4.9297 4.9297 4.9297 90.00 90.00 90.00
Space group Pm-3m (No. 221)
Symmetry-distinct sites (fractional):
Y 0.0000 0.0000 0.0000 x1
Hf 0.0000 0.5000 0.5000 x3
Cr 0.5000 0.5000 0.5000 x1

Properties
**E_form**: 0.421 eV per atom
**Distance to the lowest polymorph of the same formula**: 0.00 eV per formula unit
**Crystal system**: cubic

=====

No. 8
Below is crystalline LiErTm2In4 at its relaxed geometry, with properties calculated at the PBE level.

Lattice parameters (Å, degrees): 5.1589 5.1589 25.7379 90.00 90.00 120.00
Space group R-3m (No. 166, hexagonal axes)
Symmetry-distinct sites (fractional):
Li 0.0000 0.0000 0.0000 x3
Er 0.0000 0.0000 0.5000 x3
Tm 0.0000 0.0000 0.2528 x6
In 0.0000 0.0000 0.1225 x6
In 0.0000 0.0000 0.3730 x6

Properties
**E_form**: -0.395 eV per atom
**Crystal system**: trigonal